# 1
DFT (PBE) results for a relaxed DyY2Al3Si2Ir crystal.

Geometry as POSCAR:
```
DyY2Al3Si2Ir
1.0
-0.6367 2.7437 -3.1389
-6.8400 -0.5913 0.8706
3.5315 4.8176 3.4946
Y Si Al Ir Dy
2 2 3 1 1
Direct
0.0000 0.0000 0.5835
0.0000 0.5835 0.0000
0.5000 0.3334 0.6664
0.5000 0.6664 0.3334
0.5000 0.2328 0.0002
0.5000 0.0002 0.2328
0.5000 0.7672 0.7672
0.0000 0.0008 0.0008
0.0000 0.4157 0.4157
```

## Properties
symmetry: No. 38
total magnetic moment: 0.0 μB per formula unit
VASP energy: -6.252 eV/atom

---

# 2
DFT (PBE) results for a relaxed TbDyAlIr2 crystal.

Geometry as POSCAR:
```
TbDyAlIr2
1.0
-2.0483 2.9145 4.2834
2.0483 -2.9145 4.2834
2.0483 2.9145 -4.2834
Ir Tb Al Dy
2 1 1 1
Direct
0.2587 0.5000 0.7587
0.7413 0.5000 0.2413
0.3019 0.8019 0.5000
0.0000 0.0000 0.0000
0.6981 0.1981 0.5000
```

## Properties
symmetry: No. 44
total magnetic moment: 0.0 μB per formula unit
VASP energy: -7.067 eV/atom

---

# 3
DFT (PBE) results for a relaxed TbDyAl2Ir4 crystal.

Geometry as POSCAR:
```
TbDyAl2Ir4
1.0
-2.4408 -3.5180 -0.3697
4.2836 -0.3376 -0.0875
0.1051 -1.0321 9.1274
Tb Al Ir Dy
1 2 4 1
Direct
0.3333 0.6667 0.5000
0.6667 0.3333 0.2499
0.6667 0.3333 0.7501
0.0000 0.0000 0.6681
0.3333 0.6667 0.1676
0.3333 0.6667 0.8324
0.0000 0.0000 0.3319
0.0000 0.0000 0.0000
```

## Properties
symmetry: No. 187
total magnetic moment: 0.0 μB per formula unit
VASP energy: -7.217 eV/atom

---

# 4
DFT (PBE) results for a relaxed DyYAl2Ir4 crystal.

Geometry as POSCAR:
```
DyYAl2Ir4
1.0
-1.5806 -3.8580 -1.0363
0.8485 0.9418 4.1048
-8.5374 3.2222 1.0254
Dy Ir Al Y
1 4 2 1
Direct
0.6667 0.3333 0.0000
0.3333 0.6667 0.8324
0.3333 0.6667 0.1676
0.6667 0.3333 0.6682
0.6667 0.3333 0.3318
0.0000 0.0000 0.2500
0.0000 0.0000 0.7500
0.3333 0.6667 0.5000
```

## Properties
symmetry: No. 187
total magnetic moment: 0.0 μB per formula unit
VASP energy: -7.445 eV/atom